{
  "formula": "Li2Mn4Te",
  "functional": "PBE",
  "state": "optimized geometry",
  "dft_energy_ha_per_atom": -0.1949,
  "space_group": "No. 139",
  "e_form_raw_ev_per_atom": 0.932,
  "cell": [[-2.4161, 2.4161, 6.9344], [2.4161, -2.4161, 6.9344], [2.4161, 2.4161, -6.9344]],
  "species": ["Li", "Li", "Mn", "Mn", "Mn", "Mn", "Te"],
  "fractional_positions": [[0.1080, 0.1080, 0.0000], [0.8920, 0.8920, 0.0000], [0.0000, 0.5000, 0.5000], [0.3016, 0.3016, 0.0000], [0.5000, 0.0000, 0.5000], [0.6984, 0.6984, 0.0000], [0.5000, 0.5000, 0.0000]]
}